# 1
The following is a DFT calculation (GGA-PBE) of an optimized crystal structure of NaSrLi3.

Cell lengths 6.100, 8.484, 11.972 Å; angles 90.00, 90.00, 90.00 degrees
Sites, in units of the cell vectors:
Li 0.497 0.073 0.292
Li 0.997 0.427 0.208
Sr 0.000 0.000 0.500
Na 0.500 0.750 0.475
Na 0.500 0.250 0.525
Li 0.250 0.250 0.750
Na 0.000 0.250 0.975
Li 0.497 0.427 0.292
Li 0.750 0.250 0.750
Li 0.003 0.573 0.792
Li 0.003 0.927 0.792
Li 0.750 0.750 0.250
Sr 0.000 0.500 0.500
Na 0.000 0.750 0.025
Li 0.503 0.927 0.708
Li 0.250 0.750 0.250
Li 0.503 0.573 0.708
Li 0.997 0.073 0.208
Sr 0.500 0.000 0.000
Sr 0.500 0.500 0.000

Computed properties:
As for the total energy: -0.1231 Ry/atom. For the formation enthalpy at 0 K, the calculation gives 0.0739 eV per atom. The relative energy among the computed polymorphs is 0 meV/atom. As for the space group: No. 62. As for the volume: 30.98 A^3/atom.

---

# 2
The following is a DFT calculation (GGA-PBE) of an optimized crystal structure of Na2Sr8Li.

Cell lengths 6.341, 7.969, 11.116 Å; angles 93.96, 106.57, 90.00 degrees
Sites, in units of the cell vectors:
Sr 0.783 0.378 0.567
Li 0.500 0.000 0.000
Sr 0.670 0.920 0.340
Sr 0.217 0.622 0.433
Na 0.849 0.830 0.699
Sr 0.410 0.579 0.820
Sr 0.330 0.080 0.660
Sr 0.967 0.241 0.934
Sr 0.033 0.759 0.066
Na 0.151 0.170 0.301
Sr 0.590 0.421 0.180

Computed properties:
As for the total energy: -0.1186 Ry/atom. For the formation enthalpy at 0 K, the calculation gives 0.0231 eV per atom. The relative energy among the computed polymorphs is 0 meV/atom. As for the space group: No. 12. As for the volume: 48.82 A^3/atom.